*one*
Below is a geometry-optimized BeSiP structure, with properties calculated at the PBE-GGA level.

Lattice parameters (Å, degrees): 5.3838 5.3838 5.3838 152.41 145.02 45.12
Fractional positions:
P  0.3815  0.3815  0.0000
Si  0.6316  0.6316  0.0000
Be  0.9870  0.9870  0.0000

Symmetry: Imm2, No. 44
Fermi-level density of states in states/eV/atom: 0.276
Total magnetic moment in μB/cell: 0.0

=====

*two*
Below is a geometry-optimized BeSiP structure, with properties calculated at the PBE-GGA level.

Lattice parameters (Å, degrees): 3.7413 4.7739 5.5894 102.81 95.15 99.20
Fractional positions:
P  0.6223  0.8017  0.9242
P  0.2743  0.4414  0.2761
Si  0.8522  0.0409  0.6200
Si  0.4247  0.3516  0.6499
Be  0.1887  0.0304  0.0234
Be  0.8212  0.6798  0.2773

Symmetry: P1, No. 1
Total magnetic moment in μB/cell: 0.0

=====

*three*
Below is a geometry-optimized BeSiP structure, with properties calculated at the PBE-GGA level.

Lattice parameters (Å, degrees): 3.7248 5.3727 5.4841 66.05 71.75 76.53
Fractional positions:
P  0.2356  0.7952  0.2550
P  0.9508  0.1577  0.6655
Si  0.1184  0.2461  0.1996
Si  0.6745  0.4571  0.9057
Be  0.4577  0.9222  0.7993
Be  0.8377  0.7674  0.0581

Symmetry: P1, No. 1
Total magnetic moment in μB/cell: 0.0

=====

*four*
Below is a geometry-optimized BeSiP structure, with properties calculated at the PBE-GGA level.

Lattice parameters (Å, degrees): 7.9089 3.7615 6.4718 90.00 90.16 90.00
Fractional positions:
P  0.0243  0.0000  0.8041
P  0.0243  0.5000  0.3041
P  0.2866  0.0000  0.9653
P  0.2866  0.5000  0.4653
Si  0.5601  0.0000  0.8127
Si  0.5601  0.5000  0.3127
Si  0.6708  0.0000  0.1494
Si  0.6708  0.5000  0.6494
Be  0.2670  0.0000  0.6234
Be  0.2670  0.5000  0.1234
Be  0.9622  0.0000  0.1475
Be  0.9622  0.5000  0.6475

Symmetry: Cm, No. 8
Fermi-level density of states in states/eV/atom: 0.000
Total magnetic moment in μB/cell: 0.0

=====

The structure with the greatest stability is *two*.

=====

*one*
Below is a geometry-optimized BeSi3P structure, with properties calculated at the PBE-GGA level.

Lattice parameters (Å, degrees): 4.4844 4.4844 4.4844 90.00 90.00 90.00
Fractional positions:
P  0.0000  0.0000  0.0000
Si  0.0000  0.5000  0.0000
Si  0.0000  0.0000  0.5000
Si  0.5000  0.0000  0.0000
Be  0.5000  0.5000  0.5000

Symmetry: Pm-3m, No. 221
Fermi-level density of states in states/eV/atom: 0.600
Total magnetic moment in μB/cell: 0.0

=====

*two*
Below is a geometry-optimized BeSi3P structure, with properties calculated at the PBE-GGA level.

Lattice parameters (Å, degrees): 4.2663 4.2663 4.2663 90.00 90.00 90.00
Fractional positions:
P  0.5000  0.5000  0.5000
Si  0.0000  0.5000  0.0000
Si  0.0000  0.0000  0.5000
Si  0.5000  0.0000  0.0000
Be  0.0000  0.0000  0.0000

Symmetry: Pm-3m, No. 221
Fermi-level density of states in states/eV/atom: 0.395
Total magnetic moment in μB/cell: 0.0

=====

The structure with the greatest stability is *two*.

=====

*one*
Below is a geometry-optimized Be3SnP structure, with properties calculated at the PBE-GGA level.

Lattice parameters (Å, degrees): 4.5525 4.5525 4.5525 90.00 90.00 90.00
Fractional positions:
P  0.5000  0.5000  0.5000
Sn  0.0000  0.0000  0.0000
Be  0.0000  0.5000  0.0000
Be  0.0000  0.0000  0.5000
Be  0.5000  0.0000  0.0000

Symmetry: Pm-3m, No. 221
Fermi-level density of states in states/eV/atom: 0.875
Total magnetic moment in μB/cell: 0.0

=====

*two*
Below is a geometry-optimized Be3SnP structure, with properties calculated at the PBE-GGA level.

Lattice parameters (Å, degrees): 4.2308 4.2308 4.2308 90.00 90.00 90.00
Fractional positions:
P  0.0000  0.0000  0.0000
Sn  0.5000  0.5000  0.5000
Be  0.0000  0.5000  0.0000
Be  0.0000  0.0000  0.5000
Be  0.5000  0.0000  0.0000

Symmetry: Pm-3m, No. 221
Fermi-level density of states in states/eV/atom: 0.606
Total magnetic moment in μB/cell: 0.0

=====

The structure with the greatest stability is *two*.

=====

*one*
Below is a geometry-optimized Be2SnP structure, with properties calculated at the PBE-GGA level.

Lattice parameters (Å, degrees): 5.7659 5.7659 6.0572 61.58 61.58 90.00
Fractional positions:
P  0.5000  0.5000  0.0000
P  0.2500  0.7500  0.5000
Sn  0.0000  0.0000  0.0000
Sn  0.7500  0.2500  0.5000
Be  0.5505  0.1250  0.2500
Be  0.1995  0.6250  0.2500
Be  0.3750  0.4495  0.7500
Be  0.8750  0.8005  0.7500

Symmetry: I-42d, No. 122
Fermi-level density of states in states/eV/atom: 0.161
Total magnetic moment in μB/cell: 0.0

=====

*two*
Below is a geometry-optimized Be2SnP structure, with properties calculated at the PBE-GGA level.

Lattice parameters (Å, degrees): 4.3850 4.3850 4.3850 60.00 60.00 60.00
Fractional positions:
P  0.0000  0.0000  0.0000
Sn  0.5000  0.5000  0.5000
Be  0.2500  0.2500  0.2500
Be  0.7500  0.7500  0.7500

Symmetry: Fm-3m, No. 225
Fermi-level density of states in states/eV/atom: 0.278
Total magnetic moment in μB/cell: 0.0

=====

The structure with the greatest stability is *one*.

=====

*one*
Below is a geometry-optimized TaBeP structure, with properties calculated at the PBE-GGA level.

Lattice parameters (Å, degrees): 3.9746 3.9746 3.9746 60.00 60.00 60.00
Fractional positions:
P  0.7500  0.7500  0.7500
Be  0.5000  0.5000  0.5000
Ta  0.0000  0.0000  0.0000

Symmetry: F-43m, No. 216
Fermi-level density of states in states/eV/atom: 1.174
Total magnetic moment in μB/cell: 0.0

=====

*two*
Below is a geometry-optimized TaBeP structure, with properties calculated at the PBE-GGA level.

Lattice parameters (Å, degrees): 4.0790 4.0790 4.0790 60.00 60.00 60.00
Fractional positions:
P  0.5000  0.5000  0.5000
Be  0.0000  0.0000  0.0000
Ta  0.7500  0.7500  0.7500

Symmetry: F-43m, No. 216
Fermi-level density of states in states/eV/atom: 1.078
Total magnetic moment in μB/cell: 0.0

=====

The structure with the greatest stability is *one*.

=====

*one*
Below is a geometry-optimized TaBeP structure, with properties calculated at the PBE-GGA level.

Lattice parameters (Å, degrees): 4.6890 4.6885 3.0689 70.91 70.91 38.21
Fractional positions:
P  0.3518  0.3522  0.6482
Be  0.9776  0.9770  0.0224
Ta  0.6706  0.6708  0.3294

Symmetry: I4mm, No. 107
Fermi-level density of states in states/eV/atom: 0.579
Total magnetic moment in μB/cell: 0.0

=====

*two*
Below is a geometry-optimized TaBeP structure, with properties calculated at the PBE-GGA level.

Lattice parameters (Å, degrees): 2.9406 2.9406 5.7323 90.00 90.00 120.00
Fractional positions:
P  0.6667  0.3333  0.3093
Be  0.0000  0.0000  0.0305
Ta  0.3333  0.6667  0.6602

Symmetry: P3m1, No. 156
Fermi-level density of states in states/eV/atom: 1.070
Total magnetic moment in μB/cell: 0.0

=====

*three*
Below is a geometry-optimized TaBeP structure, with properties calculated at the PBE-GGA level.

Lattice parameters (Å, degrees): 3.5955 3.5955 3.3396 90.00 90.00 120.00
Fractional positions:
P  0.3333  0.6667  0.1667
Be  0.0000  0.0000  0.1666
Ta  0.6667  0.3333  0.6667

Symmetry: P-6m2, No. 187
Fermi-level density of states in states/eV/atom: 0.554
Total magnetic moment in μB/cell: 0.0

=====

*four*
Below is a geometry-optimized TaBeP structure, with properties calculated at the PBE-GGA level.

Lattice parameters (Å, degrees): 6.1495 4.8375 6.4827 72.25 62.38 85.60
Fractional positions:
Ta  0.0640  0.1159  0.4006
Ta  0.1590  0.3168  0.7940
Ta  0.6770  0.4403  0.2190
Ta  0.4830  0.8121  0.5894
Be  0.1300  0.6248  0.0800
Be  0.4400  0.3968  0.9780
Be  0.5217  0.9857  0.1400
Be  0.0200  0.8416  0.8293
P  0.7840  0.6463  0.7707
P  0.8587  0.9454  0.1768
P  0.6210  0.2504  0.6569
P  0.2489  0.6240  0.3651

Symmetry: P1, No. 1
Fermi-level density of states in states/eV/atom: 0.322
Total magnetic moment in μB/cell: 0.0

=====

The structure with the greatest stability is *four*.

=====

*one*
Below is a geometry-optimized Ta4BeP structure, with properties calculated at the PBE-GGA level.

Lattice parameters (Å, degrees): 5.0478 6.0187 6.0187 90.00 90.00 90.00
Fractional positions:
Ta  0.0000  0.1713  0.6574
Ta  0.0000  0.8287  0.3426
Ta  0.0000  0.3426  0.1713
Ta  0.0000  0.6574  0.8287
Ta  0.5000  0.8287  0.6574
Ta  0.5000  0.1713  0.3426
Ta  0.5000  0.6574  0.1713
Ta  0.5000  0.3426  0.8287
Be  0.2500  0.5000  0.5000
Be  0.7500  0.5000  0.5000
P  0.2500  0.0000  0.0000
P  0.7500  0.0000  0.0000

Symmetry: P4/mcc, No. 124
Fermi-level density of states in states/eV/atom: 0.408
Total magnetic moment in μB/cell: 0.0

=====

*two*
Below is a geometry-optimized Ta4BeP structure, with properties calculated at the PBE-GGA level.

Lattice parameters (Å, degrees): 5.3908 5.3908 5.3908 60.00 60.00 60.00
Fractional positions:
Ta  0.8712  0.3763  0.3763
Ta  0.3763  0.3763  0.8712
Ta  0.3763  0.8712  0.3763
Ta  0.3763  0.3763  0.3763
Be  0.7500  0.7500  0.7500
P  0.0000  0.0000  0.0000

Symmetry: F-43m, No. 216
Fermi-level density of states in states/eV/atom: 0.621
Total magnetic moment in μB/cell: 0.0

=====

The structure with the greatest stability is *one*.

=====

*one*
Below is a geometry-optimized BeTcP structure, with properties calculated at the PBE-GGA level.

Lattice parameters (Å, degrees): 3.8106 3.8106 3.8106 60.00 60.00 60.00
Fractional positions:
P  0.7500  0.7500  0.7500
Tc  0.0000  0.0000  0.0000
Be  0.5000  0.5000  0.5000

Symmetry: F-43m, No. 216
Fermi-level density of states in states/eV/atom: 0.291
Total magnetic moment in μB/cell: 0.0

=====

*two*
Below is a geometry-optimized BeTcP structure, with properties calculated at the PBE-GGA level.

Lattice parameters (Å, degrees): 3.0399 3.1222 9.1495 90.00 99.56 90.00
Fractional positions:
Be  0.5503  0.2500  0.1006
Be  0.4497  0.7500  0.8994
Tc  0.8465  0.7500  0.6929
Tc  0.1535  0.2500  0.3071
P  0.7065  0.7500  0.4129
P  0.2935  0.2500  0.5871

Symmetry: Cmcm, No. 63
Fermi-level density of states in states/eV/atom: 0.546
Total magnetic moment in μB/cell: 0.0

=====

*three*
Below is a geometry-optimized BeTcP structure, with properties calculated at the PBE-GGA level.

Lattice parameters (Å, degrees): 5.5777 5.5776 6.0295 65.58 63.45 94.00
Fractional positions:
Tc  0.0913  0.2616  0.3983
Tc  0.1823  0.2016  0.8689
Tc  0.7375  0.3838  0.1316
Tc  0.3272  0.8223  0.6018
Be  0.0956  0.7005  0.0957
Be  0.4636  0.5237  0.9042
Be  0.4370  0.0741  0.1157
Be  0.8570  0.8855  0.8843
P  0.9321  0.5268  0.6533
P  0.8474  0.9176  0.3471
P  0.5926  0.0739  0.7026
P  0.4438  0.6288  0.2964

Symmetry: C2, No. 5
Fermi-level density of states in states/eV/atom: 0.367
Total magnetic moment in μB/cell: 0.0

=====

The structure with the greatest stability is *three*.